DFT (PBE) results for HfTlTc2Bi after structural relaxation.

a = 4.986 Å, b = 4.986 Å, c = 5.491 Å
α = 90.00°, β = 90.00°, γ = 90.00°
Element x y z (fractional)
Hf  0.000  0.000  0.000
Tl  0.500  0.500  0.000
Tc  0.000  0.500  0.500
Tc  0.500  0.000  0.500
Bi  0.500  0.500  0.500

magnetization	1.790	Bohr magnetons per cell
space group	No. 123
ΔH_f (0 K)	1.947	eV/atom
electronic total energy	-0.1999	Ha/atom

=====

DFT (PBE) results for HfBiTe3 after structural relaxation.

a = 5.547 Å, b = 5.547 Å, c = 5.547 Å
α = 90.00°, β = 90.00°, γ = 90.00°
Element x y z (fractional)
Hf  0.000  0.000  0.000
Bi  0.500  0.500  0.500
Te  0.000  0.000  0.500
Te  0.000  0.500  0.000
Te  0.500  0.000  0.000

excess energy over the best structure of this formula in the dataset	0	meV/atom
magnetization	0.000	Bohr magnetons per cell
space group	No. 221
electronic total energy	-0.1710	Ha/atom

=====

DFT (PBE) results for Hf2BiTe after structural relaxation.

a = 7.173 Å, b = 7.173 Å, c = 7.173 Å
α = 90.00°, β = 90.00°, γ = 90.00°
Element x y z (fractional)
Hf  0.250  0.250  0.250
Hf  0.250  0.250  0.750
Hf  0.250  0.750  0.250
Hf  0.250  0.750  0.750
Hf  0.750  0.250  0.250
Hf  0.750  0.250  0.750
Hf  0.750  0.750  0.250
Hf  0.750  0.750  0.750
Bi  0.000  0.000  0.000
Bi  0.000  0.500  0.500
Bi  0.500  0.000  0.500
Bi  0.500  0.500  0.000
Te  0.000  0.000  0.500
Te  0.000  0.500  0.000
Te  0.500  0.000  0.000
Te  0.500  0.500  0.500

excess energy over the best structure of this formula in the dataset	133	meV/atom
magnetization	0.000	Bohr magnetons per cell
space group	No. 225
electronic total energy	-0.2563	Ha/atom